# 1
Ca3Zn3Rh2 GGA-PBE optimized geometry; calculated total energy = -3.51 eV per atom; space group = Pnma, No. 62; energy relative to the lowest polymorph listed for this composition = 0 meV/atom; E_form = -443 meV per atom
1.0
7.8569 0.0000 0.0000
0.0000 15.3475 0.0000
0.0000 0.0000 5.7474
Ca Zn Rh
12 12 8
Cartesian
0.2965 1.6217 0.6619
0.2965 6.0521 0.6619
1.3961 3.8369 3.6124
2.5324 11.5106 0.7388
3.6320 9.2954 3.5356
3.6320 13.7258 3.5356
4.2249 1.6217 2.2118
4.2249 6.0521 2.2118
5.3246 3.8369 5.0086
6.4609 11.5106 2.1349
7.5605 9.2954 5.0855
7.5605 13.7258 5.0855
1.3043 11.5106 3.4668
1.3530 0.5529 3.4795
1.3530 7.1208 3.4795
2.5754 8.2267 0.6058
2.5754 14.7946 0.6058
2.6241 3.8369 0.5931
5.2328 11.5106 5.1543
5.2815 0.5529 5.1415
5.2815 7.1208 5.1415
6.5039 8.2267 2.2678
6.5039 14.7946 2.2678
6.5526 3.8369 2.2806
0.9440 9.3290 2.2184
0.9440 13.6922 2.2184
2.9845 1.6553 5.0921
2.9845 6.0185 5.0921
4.8725 9.3290 0.6553
4.8725 13.6922 0.6553
6.9130 1.6553 3.5289
6.9130 6.0185 3.5289

# 2
InPt6Rh5 GGA-PBE optimized geometry; calculated total energy = -6.40 eV per atom; space group = Cmmm, No. 65; E_form = -92 meV per atom
1.0
1.9704 -5.8988 0.0000
1.9704 5.8988 0.0000
0.0000 0.0000 7.9329
In Pt Rh
1 6 5
Cartesian
0.0000 0.0000 0.0000
1.9704 3.9092 2.0019
1.9704 3.9092 5.9310
1.9704 0.0000 2.0557
1.9704 0.0000 5.8772
1.9704 -3.9092 2.0019
1.9704 -3.9092 5.9310
0.0000 0.0000 3.9665
1.9704 1.9843 0.0000
1.9704 1.9525 3.9665
1.9704 -1.9525 3.9665
1.9704 -1.9843 0.0000

# 3
KBa2RhPb GGA-PBE optimized geometry; calculated total energy = -3.40 eV per atom; space group = P4/mmm, No. 123; E_form = -201 meV per atom
1.0
6.1644 0.0000 0.0000
0.0000 6.1644 0.0000
0.0000 0.0000 5.4269
K Ba Rh Pb
1 2 1 1
Cartesian
0.0000 0.0000 0.0000
0.0000 3.0822 2.7134
3.0822 0.0000 2.7134
3.0822 3.0822 2.7134
3.0822 3.0822 0.0000

# 4
La3PmSn2N GGA-PBE optimized geometry; energy relative to the elements, uncorrected = -0.93 eV per atom; calculated total energy = -6.05 eV per atom; space group = Immm, No. 71
1.0
-2.4787 2.4876 8.4290
2.4787 -2.4876 8.4290
2.4787 2.4876 -8.4290
La Pm Sn N
3 1 2 1
Cartesian
0.0000 0.0000 0.0000
2.4787 0.0000 5.6818
0.0000 2.4876 2.7472
0.0000 0.0000 8.4290
2.4787 0.0000 2.3430
0.0000 2.4876 6.0860
0.0000 2.4876 0.0000

# 5
RbSrMnIn2 GGA-PBE optimized geometry; calculated total energy = -3.20 eV per atom; space group = P4/mmm, No. 123; E_form = 262 meV per atom
1.0
5.3170 0.0000 0.0000
0.0000 5.3170 0.0000
0.0000 0.0000 5.3701
Rb Sr Mn In
1 1 1 2
Cartesian
0.0000 0.0000 0.0000
2.6585 2.6585 0.0000
2.6585 2.6585 2.6850
0.0000 2.6585 2.6850
2.6585 0.0000 2.6850

# 6
CaNd2Pb GGA-PBE optimized geometry; calculated total energy = -4.12 eV per atom; space group = P4/mmm, No. 123; energy relative to the lowest polymorph listed for this composition = 0 meV/atom; E_form = -304 meV per atom
1.0
5.0308 0.0000 0.0000
0.0000 5.0308 0.0000
0.0000 0.0000 5.0136
Ca Nd Pb
1 2 1
Cartesian
0.0000 0.0000 0.0000
0.0000 2.5154 2.5068
2.5154 0.0000 2.5068
2.5154 2.5154 0.0000

# 7
Ni2SnW2 GGA-PBE optimized geometry; calculated total energy = -7.97 eV per atom; space group = P4/mbm, No. 127; energy relative to the lowest polymorph listed for this composition = 0 meV/atom; E_form = 319 meV per atom
1.0
6.4075 0.0000 0.0000
0.0000 6.4075 0.0000
0.0000 0.0000 3.6413
Ni Sn W
4 2 4
Cartesian
0.8261 2.3776 0.0000
2.3776 5.5813 0.0000
4.0299 0.8261 0.0000
5.5813 4.0299 0.0000
0.0000 0.0000 0.0000
3.2037 3.2037 0.0000
1.0260 4.2298 1.8207
2.1777 1.0260 1.8207
4.2298 5.3814 1.8207
5.3814 2.1777 1.8207

# 8
Pm3PrHoEr GGA-PBE optimized geometry; calculated total energy = -4.67 eV per atom; space group = P2_1/m, No. 11; E_form = 22 meV per atom
1.0
8.0686 0.0000 0.0000
0.0000 5.1294 0.0000
-3.2563 0.0000 9.7013
Pm Pr Ho Er
6 2 2 2
Cartesian
1.2320 1.2824 0.4167
-0.3884 1.2824 5.2570
0.4233 3.8471 2.8397
4.3889 1.2824 6.8616
5.2006 3.8471 4.4443
3.5802 3.8471 9.2846
-1.2124 3.8471 7.6822
6.0247 1.2824 2.0192
1.1911 1.2824 8.4824
3.6211 3.8471 1.2190
2.8048 1.2824 3.6431
2.0075 3.8471 6.0582

# 9
SrGa2Ni GGA-PBE optimized geometry; calculated total energy = -3.79 eV per atom; space group = R-3m, No. 166; E_form = -412 meV per atom
1.0
2.0963 1.2103 5.6490
-2.0963 1.2103 5.6490
0.0000 -2.4206 5.6490
Sr Ga Ni
1 2 1
Cartesian
0.0000 0.0000 0.0000
0.0000 0.0000 3.4020
0.0000 0.0000 13.5449
0.0000 0.0000 8.4734

# 10
K3Cr2 GGA-PBE optimized geometry; calculated total energy = -3.50 eV per atom; space group = P-3m1, No. 164; energy relative to the lowest polymorph listed for this composition = 0 meV/atom; E_form = 1004 meV per atom
1.0
5.9438 0.0000 0.0000
-2.9719 5.1475 0.0000
0.0000 0.0000 7.4657
K Cr
3 2
Cartesian
0.0000 0.0000 0.0000
0.0000 3.4317 2.6989
2.9719 1.7158 4.7668
0.0000 3.4317 6.6893
2.9719 1.7158 0.7764

# 11
Th2CdIn GGA-PBE optimized geometry; calculated total energy = -4.47 eV per atom; space group = R-3m, No. 166; E_form = 150 meV per atom
1.0
1.6839 0.9722 12.2752
-1.6839 0.9722 12.2752
0.0000 -1.9444 12.2752
Th Cd In
2 1 1
Cartesian
0.0000 0.0000 3.3205
0.0000 0.0000 33.5052
0.0000 0.0000 18.4129
0.0000 0.0000 0.0000

# 12
Pr5Y4Tm GGA-PBE optimized geometry; calculated total energy = -5.17 eV per atom; space group = I4mm, No. 107; E_form = 249 meV per atom
1.0
-5.3116 5.3116 3.0777
5.3116 -5.3116 3.0777
5.3116 5.3116 -3.0777
Pr Y Tm
5 4 1
Cartesian
0.0000 0.0000 0.0000
3.3117 3.3117 1.3915
1.9998 -1.9998 4.4693
-1.9998 1.9998 4.4693
1.9998 1.9998 4.4693
3.4454 0.0000 1.5120
7.1778 0.0000 1.5120
0.0000 3.4454 1.5120
0.0000 7.1778 1.5120
0.0000 0.0000 2.8589

Q: Look up the calculated total energy of the twelfth one.
A: -5.17 eV per atom